P) ! Li5Br4 (PBE-GGA, relaxed); values from VASP
&SYSTEM
  ibrav = 0, nat = 18, ntyp = 2
/
ATOMIC_SPECIES
Br 79.90 Br.upf
Li 6.94 Li.upf
ATOMIC_POSITIONS angstrom
Br 0.000 0.000 0.000
Br -0.197 3.087 2.236
Br -1.560 -1.080 4.611
Br 4.409 2.270 0.512
Br 2.104 0.173 3.205
Br -1.352 2.734 5.878
Br 2.963 5.156 2.916
Br 2.751 2.734 6.241
Li -0.718 0.431 2.599
Li 1.813 1.852 0.861
Li 3.858 -0.920 4.868
Li -2.194 1.224 7.890
Li 5.559 5.574 2.567
Li 0.996 3.826 4.578
Li 4.338 -0.672 1.310
Li 0.713 0.492 5.900
Li 0.911 -2.595 3.664
Li 4.141 2.415 3.546
CELL_PARAMETERS angstrom
-2.517 -4.519 6.018
7.766 1.252 -1.043
-0.394 6.174 4.471
! V: 208.12 Å³/f.u.
! Mass density: 2.8 g cm⁻³



Q) ! Li5Br4 (PBE-GGA, relaxed); values from VASP
&SYSTEM
  ibrav = 0, nat = 9, ntyp = 2
/
ATOMIC_SPECIES
Li 6.94 Li.upf
Br 79.90 Br.upf
ATOMIC_POSITIONS angstrom
Li 0.000 0.000 0.000
Li 0.679 2.759 0.260
Li 2.294 -0.981 1.384
Li 0.424 0.979 2.646
Li -2.946 0.249 5.056
Br -0.228 -1.588 2.129
Br -0.735 -5.126 6.872
Br -5.385 5.643 3.633
Br -1.669 1.748 1.126
CELL_PARAMETERS angstrom
4.532 -6.164 2.943
-1.560 7.942 -1.299
-5.494 -0.551 6.058
! V: 243.54 Å³/f.u.
! Mass density: 2.4 g cm⁻³



Of them, P) has the lowest stability.



P) ! Li2MgBr (PBE-GGA, relaxed); values from VASP
&SYSTEM
  ibrav = 0, nat = 4, ntyp = 3
/
ATOMIC_SPECIES
Br 79.90 Br.upf
Li 6.94 Li.upf
Mg 24.30 Mg.upf
ATOMIC_POSITIONS angstrom
Br -1.958 -5.903 2.183
Li -2.999 -5.832 4.556
Li -1.727 -3.359 2.624
Mg -0.383 -2.839 -0.211
CELL_PARAMETERS angstrom
-2.122 -0.884 -2.528
2.931 -1.731 -0.287
-3.151 -6.128 4.787
! V: 92.10 Å³/f.u.
! Mass density: 2.1 g cm⁻³



Q) ! Li2MgBr (PBE-GGA, relaxed); values from VASP
&SYSTEM
  ibrav = 0, nat = 4, ntyp = 3
/
ATOMIC_SPECIES
Br 79.90 Br.upf
Li 6.94 Li.upf
Mg 24.30 Mg.upf
ATOMIC_POSITIONS angstrom
Br 1.853 0.000 2.448
Li 0.000 0.000 0.000
Li 0.000 2.448 2.448
Mg 1.853 2.448 0.000
CELL_PARAMETERS angstrom
3.705 0.000 0.000
0.000 4.896 0.000
0.000 0.000 4.896
! V: 88.82 Å³/f.u.
! Mass density: 2.2 g cm⁻³



R) ! Li2MgBr (PBE-GGA, relaxed); values from VASP
&SYSTEM
  ibrav = 0, nat = 8, ntyp = 3
/
ATOMIC_SPECIES
Mg 24.30 Mg.upf
Br 79.90 Br.upf
Li 6.94 Li.upf
ATOMIC_POSITIONS angstrom
Mg 3.769 3.769 0.000
Mg 3.769 7.539 1.751
Br 0.000 0.000 0.000
Br 7.539 3.769 1.751
Li 6.089 1.885 0.876
Li 1.450 5.654 0.876
Li 5.654 5.219 2.627
Li 9.424 9.859 2.627
CELL_PARAMETERS angstrom
7.539 0.000 0.000
0.000 7.539 0.000
3.769 3.769 3.503
! V: 99.54 Å³/f.u.
! Mass density: 2.0 g cm⁻³



Of them, Q) has the lowest stability.



P) ! Li2MgBr (PBE-GGA, relaxed); values from VASP
&SYSTEM
  ibrav = 0, nat = 4, ntyp = 3
/
ATOMIC_SPECIES
Br 79.90 Br.upf
Li 6.94 Li.upf
Mg 24.30 Mg.upf
ATOMIC_POSITIONS angstrom
Br -0.845 2.483 1.692
Li 0.000 0.000 0.000
Li 1.767 2.494 -0.012
Mg 2.622 0.025 1.692
CELL_PARAMETERS angstrom
5.235 0.037 -0.012
-1.700 4.952 -0.012
0.010 0.014 3.396
! V: 88.25 Å³/f.u.
! Mass density: 2.2 g cm⁻³



Q) ! Li2MgBr (PBE-GGA, relaxed); values from VASP
&SYSTEM
  ibrav = 0, nat = 4, ntyp = 3
/
ATOMIC_SPECIES
Br 79.90 Br.upf
Li 6.94 Li.upf
Mg 24.30 Mg.upf
ATOMIC_POSITIONS angstrom
Br -3.332 1.272 12.239
Li 1.826 0.859 3.087
Li -1.504 0.423 4.573
Mg -2.006 0.848 7.883
CELL_PARAMETERS angstrom
-4.187 2.063 7.256
-3.522 -1.231 7.779
2.618 0.861 2.092
! V: 97.44 Å³/f.u.
! Mass density: 2.0 g cm⁻³



Of them, P) has the lowest stability.



P) ! Li2MgBr (PBE-GGA, relaxed); values from VASP
&SYSTEM
  ibrav = 0, nat = 4, ntyp = 3
/
ATOMIC_SPECIES
Br 79.90 Br.upf
Li 6.94 Li.upf
Mg 24.30 Mg.upf
ATOMIC_POSITIONS angstrom
Br 3.592 -0.827 1.530
Li 6.982 5.436 0.000
Li 4.032 3.139 0.000
Mg 1.336 2.071 1.520
CELL_PARAMETERS angstrom
5.928 -0.040 0.010
1.415 5.757 -0.010
-2.415 -4.473 3.051
! V: 104.08 Å³/f.u.
! Mass density: 1.9 g cm⁻³



Q) ! Li2MgBr (PBE-GGA, relaxed); values from VASP
&SYSTEM
  ibrav = 0, nat = 4, ntyp = 3
/
ATOMIC_SPECIES
Br 79.90 Br.upf
Li 6.94 Li.upf
Mg 24.30 Mg.upf
ATOMIC_POSITIONS angstrom
Br -0.475 3.242 8.244
Li 3.620 1.943 7.246
Li -0.011 2.229 5.856
Mg -0.158 1.081 2.748
CELL_PARAMETERS angstrom
-1.917 2.771 1.079
-2.642 -0.459 2.307
3.926 2.011 7.606
! V: 92.57 Å³/f.u.
! Mass density: 2.1 g cm⁻³



R) ! Li2MgBr (PBE-GGA, relaxed); values from VASP
&SYSTEM
  ibrav = 0, nat = 4, ntyp = 3
/
ATOMIC_SPECIES
Br 79.90 Br.upf
Li 6.94 Li.upf
Mg 24.30 Mg.upf
ATOMIC_POSITIONS angstrom
Br -7.522 -0.198 0.812
Li -8.583 -2.037 -0.731
Li -2.658 1.233 -0.104
Mg -4.434 -0.885 -1.184
CELL_PARAMETERS angstrom
-0.869 3.409 0.709
-1.987 0.121 -3.020
-6.944 -2.239 2.255
! V: 96.16 Å³/f.u.
! Mass density: 2.0 g cm⁻³



Of them, P) has the lowest stability.



P) ! LiMgBr2 (PBE-GGA, relaxed); values from VASP
&SYSTEM
  ibrav = 0, nat = 4, ntyp = 3
/
ATOMIC_SPECIES
Br 79.90 Br.upf
Li 6.94 Li.upf
Mg 24.30 Mg.upf
ATOMIC_POSITIONS angstrom
Br 0.198 0.064 0.198
Br 8.802 2.828 2.285
Li 6.320 2.030 1.550
Mg 2.778 0.892 0.700
CELL_PARAMETERS angstrom
7.042 0.118 -0.432
5.793 4.005 -0.432
-0.770 -0.247 4.020
! V: 109.20 Å³/f.u.
! Mass density: 2.9 g cm⁻³



Q) ! LiMgBr2 (PBE-GGA, relaxed); values from VASP
&SYSTEM
  ibrav = 0, nat = 4, ntyp = 3
/
ATOMIC_SPECIES
Br 79.90 Br.upf
Li 6.94 Li.upf
Mg 24.30 Mg.upf
ATOMIC_POSITIONS angstrom
Br 0.000 0.000 0.000
Br -2.095 -1.029 2.800
Li 0.706 0.386 3.042
Mg 0.090 -2.814 1.406
CELL_PARAMETERS angstrom
-1.478 2.172 4.437
-2.711 -4.229 1.164
2.890 -1.399 1.648
! V: 95.95 Å³/f.u.
! Mass density: 3.3 g cm⁻³



R) ! LiMgBr2 (PBE-GGA, relaxed); values from VASP
&SYSTEM
  ibrav = 0, nat = 4, ntyp = 3
/
ATOMIC_SPECIES
Br 79.90 Br.upf
Li 6.94 Li.upf
Mg 24.30 Mg.upf
ATOMIC_POSITIONS angstrom
Br 0.000 0.000 0.000
Br -3.123 -0.229 -0.890
Li -6.246 -0.457 -1.781
Mg -9.369 -0.686 -2.671
CELL_PARAMETERS angstrom
-3.687 1.775 -3.393
-3.776 -3.291 -1.782
-5.029 0.602 1.615
! V: 106.23 Å³/f.u.
! Mass density: 3.0 g cm⁻³



Of them, R) has the lowest stability.



P) ! LiMgBr2 (PBE-GGA, relaxed); values from VASP
&SYSTEM
  ibrav = 0, nat = 4, ntyp = 3
/
ATOMIC_SPECIES
Mg 24.30 Mg.upf
Br 79.90 Br.upf
Li 6.94 Li.upf
ATOMIC_POSITIONS angstrom
Mg 0.000 0.000 17.119
Br 0.000 0.000 30.069
Br 0.000 0.000 4.168
Li 0.000 0.000 0.000
CELL_PARAMETERS angstrom
2.194 0.000 11.413
-1.097 1.900 11.413
-1.097 -1.900 11.413
! V: 142.76 Å³/f.u.
! Mass density: 2.2 g cm⁻³



Q) ! LiMgBr2 (PBE-GGA, relaxed); values from VASP
&SYSTEM
  ibrav = 0, nat = 4, ntyp = 3
/
ATOMIC_SPECIES
Mg 24.30 Mg.upf
Br 79.90 Br.upf
Li 6.94 Li.upf
ATOMIC_POSITIONS angstrom
Mg -2.944 -1.599 5.326
Br -1.472 -0.799 2.663
Br -4.416 -2.398 7.989
Li 0.000 0.000 0.000
CELL_PARAMETERS angstrom
-1.703 -3.932 2.834
0.166 0.268 5.128
-4.352 0.467 2.690
! V: 95.87 Å³/f.u.
! Mass density: 3.3 g cm⁻³



Of them, Q) has the lowest stability.



P) ! Li3MgBr (PBE-GGA, relaxed); values from VASP
&SYSTEM
  ibrav = 0, nat = 5, ntyp = 3
/
ATOMIC_SPECIES
Mg 24.30 Mg.upf
Br 79.90 Br.upf
Li 6.94 Li.upf
ATOMIC_POSITIONS angstrom
Mg 0.000 0.000 0.000
Br 2.682 2.682 2.682
Li 0.000 2.682 0.000
Li 0.000 0.000 2.682
Li 2.682 0.000 0.000
CELL_PARAMETERS angstrom
5.363 0.000 0.000
0.000 5.363 0.000
0.000 0.000 5.363
! V: 154.29 Å³/f.u.
! Mass density: 1.3 g cm⁻³



Q) ! Li3MgBr (PBE-GGA, relaxed); values from VASP
&SYSTEM
  ibrav = 0, nat = 5, ntyp = 3
/
ATOMIC_SPECIES
Mg 24.30 Mg.upf
Br 79.90 Br.upf
Li 6.94 Li.upf
ATOMIC_POSITIONS angstrom
Mg -1.494 -3.457 2.099
Br 0.000 0.000 0.000
Li -1.533 -1.712 -0.958
Li 1.406 -1.807 0.978
Li -1.367 0.061 2.079
CELL_PARAMETERS angstrom
-2.735 0.122 4.159
-3.066 -3.423 -1.916
2.812 -3.613 1.955
! V: 123.42 Å³/f.u.
! Mass density: 1.7 g cm⁻³



Of them, P) has the lowest stability.



P) ! LiMgBr3 (PBE-GGA, relaxed); values from VASP
&SYSTEM
  ibrav = 0, nat = 10, ntyp = 3
/
ATOMIC_SPECIES
Li 6.94 Li.upf
Mg 24.30 Mg.upf
Br 79.90 Br.upf
ATOMIC_POSITIONS angstrom
Li 3.562 1.965 4.266
Li 6.828 4.002 5.151
Mg 3.266 4.012 0.885
Mg 6.532 1.955 1.770
Br 5.129 0.000 2.980
Br 1.994 0.000 5.551
Br 1.748 2.174 2.089
Br 5.376 2.174 6.443
Br 8.642 3.793 7.327
Br 5.014 3.793 2.974
CELL_PARAMETERS angstrom
6.532 0.000 1.770
3.266 5.967 0.885
0.591 0.000 6.762
! V: 128.67 Å³/f.u.
! Mass density: 3.5 g cm⁻³



Q) ! LiMgBr3 (PBE-GGA, relaxed); values from VASP
&SYSTEM
  ibrav = 0, nat = 5, ntyp = 3
/
ATOMIC_SPECIES
Mg 24.30 Mg.upf
Br 79.90 Br.upf
Li 6.94 Li.upf
ATOMIC_POSITIONS angstrom
Mg 0.000 0.000 0.000
Br 0.000 2.644 0.000
Br 0.000 0.000 2.644
Br 2.644 0.000 0.000
Li 2.644 2.644 2.644
CELL_PARAMETERS angstrom
5.289 0.000 0.000
0.000 5.289 0.000
0.000 0.000 5.289
! V: 147.95 Å³/f.u.
! Mass density: 3.0 g cm⁻³



Of them, Q) has the lowest stability.